This record from Alexandria via LeMat-Bulk describes an optimized crystal structure of SrGa9Ag3. The functional is GGA-PBE.

Structure (extended XYZ):
```
13
Lattice="-1.675 -5.399 -0.905 3.812 -3.329 -4.890 3.546 -4.881 4.450" Properties=species:S:1:pos:R:3 pbc="T T T"
Sr 0.000 0.000 0.000
Ga 4.548 -10.290 -0.986
Ga 1.135 -3.318 -0.359
Ga 2.772 -7.248 1.956
Ga 2.911 -6.360 -3.301
Ga 1.540 -6.426 -0.735
Ga 4.143 -7.182 -0.610
Ga 2.058 -9.260 -2.458
Ga 3.625 -4.348 1.113
Ga 1.906 -1.664 -2.445
Ag 1.069 -4.364 -2.897
Ag 1.773 -2.440 2.225
Ag 0.936 -5.140 1.772
```

magnetic moment = 0.000 μB per formula unit
DFT formation energy = -1.52 eV/f.u.
total DFT energy (no corrections) = -2.999 eV/atom
DOS at the Fermi energy = 0.39 states/eV/atom